A plane-wave DFT calculation with PBE-GGA was carried out for crystalline Pm3GaAg at its relaxed geometry.

The structure in POSCAR format:
```
Pm3GaAg
1.0
5.1169 0.0000 1.1693
0.0000 5.2539 0.0000
0.3446 0.0000 10.2722
Pm Ga Ag
6 2 2
Direct
0.5761 0.2500 0.4961
0.3923 0.2500 0.8638
0.2561 0.7500 0.1362
0.7611 0.2500 0.1261
0.0722 0.7500 0.5039
0.8872 0.7500 0.8739
0.9789 0.2500 0.6906
0.6695 0.7500 0.3094
0.4816 0.7500 0.6852
0.1668 0.2500 0.3148
```

ΔH_f (0 K): -1.55 eV per formula unit
Total DFT energy (no corrections): -21.68 eV per formula unit
SG: Cmcm
Energy above the lowest structure with this stoichiometry: 0.0 meV/atom

A plane-wave DFT calculation with PBE-GGA was carried out for crystalline PmGaAg at its relaxed geometry.

The structure in POSCAR format:
```
PmGaAg
1.0
4.2988 0.0076 1.7616
2.2891 5.4331 0.5117
0.0836 0.0103 5.9172
Ag Ga Pm
2 2 2
Direct
0.9793 0.3965 0.7489
0.9793 0.7489 0.3965
0.4796 0.2308 0.9141
0.4796 0.9141 0.2308
0.7201 0.3316 0.3316
0.2387 0.8134 0.8134
```

ΔH_f (0 K): -1.37 eV per formula unit
Total DFT energy (no corrections): -12.00 eV per formula unit
SG: Immm
Energy above the lowest structure with this stoichiometry: 13.3 meV/atom

A plane-wave DFT calculation with PBE-GGA was carried out for crystalline Pm4Ga5Ag3 at its relaxed geometry.

The structure in POSCAR format:
```
Pm4Ga5Ag3
1.0
-1.0120 -3.2114 3.0715
4.2160 -6.2394 -1.7532
7.0276 0.2170 5.9235
Ag Ga Pm
3 5 4
Direct
0.3248 0.9459 0.4045
0.0000 0.5000 0.5000
0.6752 0.0541 0.5955
0.7227 0.5799 0.9748
0.5942 0.9182 0.8933
0.5000 0.5000 0.5000
0.2773 0.4201 0.0252
0.4058 0.0818 0.1067
0.0228 0.7750 0.1794
0.2682 0.7298 0.7339
0.9772 0.2250 0.8206
0.7318 0.2702 0.2661
```

ΔH_f (0 K): -4.00 eV per formula unit
Total DFT energy (no corrections): -46.69 eV per formula unit
SG: C2/m